CaMgZn2 | PBE | relaxed

a = 4.832 Å, b = 4.832 Å, c = 3.733 Å
α = 90.00°, β = 90.00°, γ = 90.00°
Space group P4/mmm (No. 123)
One atom of each set of equivalent atoms:
1 Ca 0.000 0.000 0.000
2 Mg 0.500 0.500 0.000
3 Zn 0.000 0.500 0.500

Computed properties:
**DFT total energy**: -6.62 eV for the cell shown
**Energy relative to the elements**: -0.12 eV per atom
**Volume**: 87 Å³/cell
**Fermi-level density of states**: 0.625 states/eV/atom

CaMgZn | PBE | relaxed

a = 4.720 Å, b = 4.720 Å, c = 14.185 Å
α = 90.00°, β = 90.00°, γ = 90.00°
Space group I4/mmm (No. 139)
One atom of each set of equivalent atoms:
1 Ca 0.000 0.000 0.120
2 Mg 0.000 0.000 0.379
3 Zn 0.000 0.500 0.250

Computed properties:
**DFT total energy**: -19.64 eV for the cell shown
**Energy relative to the elements**: -0.01 eV per atom
**Volume**: 316 Å³/cell
**Fermi-level density of states**: 0.574 states/eV/atom

Ca2MgZn | PBE | relaxed

a = 3.801 Å, b = 3.843 Å, c = 17.540 Å
α = 90.00°, β = 90.00°, γ = 90.00°
Space group Immm (No. 71)
One atom of each set of equivalent atoms:
1 Ca 0.000 0.000 0.168
2 Mg 0.000 0.000 0.500
3 Zn 0.000 0.000 0.000

Computed properties:
**DFT total energy**: -13.35 eV for the cell shown
**Energy relative to the elements**: 0.05 eV per atom
**Volume**: 256 Å³/cell
**Fermi-level density of states**: 0.798 states/eV/atom

Ca2MgZn | PBE | relaxed

a = 5.666 Å, b = 5.666 Å, c = 9.058 Å
α = 90.00°, β = 90.00°, γ = 90.00°
Space group P4/nmm (No. 129, origin choice 2)
One atom of each set of equivalent atoms:
1 Ca 0.250 0.250 0.118
2 Ca 0.250 0.750 0.500
3 Mg 0.250 0.250 0.742
4 Zn 0.250 0.250 0.437

Computed properties:
**DFT total energy**: -12.68 eV for the cell shown
**Energy relative to the elements**: 0.13 eV per atom
**Volume**: 291 Å³/cell
**Fermi-level density of states**: 0.928 states/eV/atom

Ca7Mg3Zn2 | PBE | relaxed

a = 7.0576 Å, b = 7.0576 Å, c = 29.7108 Å
α = 90.00°, β = 90.00°, γ = 120.00°
Space group R-3m (No. 166, hexagonal axes)
One atom of each set of equivalent atoms:
1 Ca 0.0000 0.0000 0.0000
2 Ca 0.0064 0.5032 0.4273
3 Mg 0.0000 0.0000 0.3539
4 Mg 0.0000 0.0000 0.5000
5 Zn 0.0000 0.0000 0.1654

Computed properties:
**DFT total energy**: -57.28 eV for the cell shown
**Energy relative to the elements**: 0.19 eV per atom
**Volume**: 1282 Å³/cell
**Fermi-level density of states**: 0.574 states/eV/atom

CaMg2Zn | PBE | relaxed

a = 4.192 Å, b = 4.192 Å, c = 11.305 Å
α = 90.00°, β = 90.00°, γ = 90.00°
Space group P4/nmm (No. 129, origin choice 2)
One atom of each set of equivalent atoms:
1 Ca 0.250 0.250 0.241
2 Mg 0.250 0.250 0.929
3 Mg 0.250 0.750 0.500
4 Zn 0.250 0.250 0.674

Computed properties:
**DFT total energy**: -14.02 eV for the cell shown
**Energy relative to the elements**: -0.14 eV per atom
**Volume**: 199 Å³/cell
**Fermi-level density of states**: 0.651 states/eV/atom

Ca2MgZn2 | PBE | relaxed

a = 7.794 Å, b = 11.765 Å, c = 5.833 Å
α = 90.00°, β = 90.00°, γ = 90.00°
Space group Ibam (No. 72)
One atom of each set of equivalent atoms:
1 Ca 0.154 0.180 0.000
2 Mg 0.000 0.500 0.250
3 Zn 0.204 0.075 0.500

Computed properties:
**DFT total energy**: -34.54 eV for the cell shown
**Energy relative to the elements**: -0.10 eV per atom
**Volume**: 535 Å³/cell
**Fermi-level density of states**: 0.638 states/eV/atom

CaMgZn | PBE | relaxed

a = 4.842 Å, b = 14.281 Å, c = 6.957 Å
α = 90.00°, β = 90.00°, γ = 90.00°
Space group Imm2 (No. 44)
One atom of each set of equivalent atoms:
1 Ca 0.000 0.000 0.000
2 Ca 0.000 0.353 0.883
3 Mg 0.000 0.000 0.498
4 Mg 0.000 0.317 0.385
5 Zn 0.000 0.168 0.673
6 Zn 0.000 0.500 0.219

Computed properties:
**DFT total energy**: -30.83 eV for the cell shown
**Energy relative to the elements**: -0.09 eV per atom
**Volume**: 481 Å³/cell
**Fermi-level density of states**: 0.645 states/eV/atom

CaMg2Zn | PBE | relaxed

a = 3.413 Å, b = 3.413 Å, c = 8.174 Å
α = 90.00°, β = 90.00°, γ = 90.00°
Space group P4mm (No. 99)
One atom of each set of equivalent atoms:
1 Ca 0.000 0.000 0.000
2 Mg 0.000 0.000 0.554
3 Mg 0.500 0.500 0.303
4 Zn 0.500 0.500 0.754

Computed properties:
**DFT total energy**: -6.86 eV for the cell shown
**Energy relative to the elements**: -0.10 eV per atom
**Volume**: 95 Å³/cell
**Fermi-level density of states**: 0.447 states/eV/atom

CaMgZn | PBE | relaxed

a = 4.8348 Å, b = 4.8348 Å, c = 3.7754 Å
α = 90.00°, β = 90.00°, γ = 120.00°
Space group P-6m2 (No. 187)
One atom of each set of equivalent atoms:
1 Ca 0.0000 0.0000 0.0000
2 Mg 0.3333 0.6667 0.5000
3 Zn 0.6667 0.3333 0.5000

Computed properties:
**DFT total energy**: -5.26 eV for the cell shown
**Energy relative to the elements**: -0.13 eV per atom
**Volume**: 76 Å³/cell
**Fermi-level density of states**: 0.803 states/eV/atom

CaMg3Zn4 | PBE | relaxed

a = 9.548 Å, b = 6.646 Å, c = 5.032 Å
α = 90.00°, β = 90.00°, γ = 90.00°
Space group Pmma (No. 51)
One atom of each set of equivalent atoms:
1 Ca 0.000 0.000 0.000
2 Mg 0.000 0.500 0.000
3 Mg 0.250 0.000 0.460
4 Mg 0.250 0.500 0.370
5 Zn 0.000 0.279 0.500
6 Zn 0.250 0.286 0.870

Computed properties:
**DFT total energy**: -25.65 eV for the cell shown
**Energy relative to the elements**: -0.12 eV per atom
**Volume**: 319 Å³/cell
**Fermi-level density of states**: 0.423 states/eV/atom

Ca2MgZn | PBE | relaxed

a = 7.625 Å, b = 7.646 Å, c = 3.828 Å
α = 90.00°, β = 90.00°, γ = 90.00°
Space group Cmmm (No. 65)
One atom of each set of equivalent atoms:
1 Ca 0.250 0.250 0.000
2 Mg 0.000 0.000 0.500
3 Zn 0.000 0.500 0.500

Computed properties:
**DFT total energy**: -14.76 eV for the cell shown
**Energy relative to the elements**: -0.13 eV per atom
**Volume**: 223 Å³/cell
**Fermi-level density of states**: 0.988 states/eV/atom

CaMg5Zn | PBE | relaxed

a = 4.264 Å, b = 4.264 Å, c = 10.061 Å
α = 90.00°, β = 90.00°, γ = 90.00°
Space group P4/mmm (No. 123)
One atom of each set of equivalent atoms:
1 Ca 0.000 0.000 0.000
2 Mg 0.000 0.000 0.500
3 Mg 0.000 0.500 0.279
4 Zn 0.500 0.500 0.500

Computed properties:
**DFT total energy**: -10.78 eV for the cell shown
**Energy relative to the elements**: 0.07 eV per atom
**Volume**: 183 Å³/cell
**Fermi-level density of states**: 0.532 states/eV/atom

CaMgZn | PBE | relaxed

a = 3.6078 Å, b = 3.6078 Å, c = 7.1176 Å
α = 90.00°, β = 90.00°, γ = 120.00°
Space group P3m1 (No. 156)
One atom of each set of equivalent atoms:
1 Ca 0.0000 0.0000 0.0000
2 Mg 0.6667 0.3333 0.3983
3 Zn 0.3333 0.6667 0.6776

Computed properties:
**DFT total energy**: -4.79 eV for the cell shown
**Energy relative to the elements**: 0.03 eV per atom
**Volume**: 80 Å³/cell
**Fermi-level density of states**: 0.561 states/eV/atom

CaMgZn10 | PBE | relaxed

a = 4.298 Å, b = 5.245 Å, c = 9.192 Å
α = 90.00°, β = 90.00°, γ = 90.00°
Space group Pmmm (No. 47)
One atom of each set of equivalent atoms:
1 Ca 0.000 0.000 0.000
2 Mg 0.000 0.500 0.500
3 Zn 0.000 0.000 0.344
4 Zn 0.000 0.500 0.180
5 Zn 0.500 0.000 0.500
6 Zn 0.500 0.247 0.248
7 Zn 0.500 0.500 0.000

Computed properties:
**DFT total energy**: -17.69 eV for the cell shown
**Energy relative to the elements**: -0.11 eV per atom
**Volume**: 207 Å³/cell
**Fermi-level density of states**: 0.351 states/eV/atom

Ca3MgZn | PBE | relaxed

a = 8.9529 Å, b = 8.9529 Å, c = 5.0857 Å
α = 90.00°, β = 90.00°, γ = 120.00°
Space group P6_3/mmc (No. 194)
One atom of each set of equivalent atoms:
1 Ca 0.1988 0.3976 0.2500
2 Mg 0.0000 0.0000 0.0000
3 Zn 0.3333 0.6667 0.7500

Computed properties:
**DFT total energy**: -16.43 eV for the cell shown
**Energy relative to the elements**: 0.13 eV per atom
**Volume**: 353 Å³/cell
**Fermi-level density of states**: 1.147 states/eV/atom

CaMg4Zn | PBE | relaxed

a = 8.638 Å, b = 4.351 Å, c = 7.754 Å
α = 90.00°, β = 90.00°, γ = 90.00°
Space group Pmma (No. 51)
One atom of each set of equivalent atoms:
1 Ca 0.250 0.000 0.107
2 Mg 0.000 0.000 0.500
3 Mg 0.060 0.500 0.805
4 Mg 0.250 0.500 0.453
5 Zn 0.250 0.000 0.712

Computed properties:
**DFT total energy**: -20.64 eV for the cell shown
**Energy relative to the elements**: -0.11 eV per atom
**Volume**: 291 Å³/cell
**Fermi-level density of states**: 0.331 states/eV/atom

Ca2MgZn | PBE | relaxed

a = 3.8389 Å, b = 3.8389 Å, c = 29.2752 Å
α = 90.00°, β = 90.00°, γ = 120.00°
Space group R-3m (No. 166, hexagonal axes)
One atom of each set of equivalent atoms:
1 Ca 0.0000 0.0000 0.2404
2 Mg 0.0000 0.0000 0.0000
3 Zn 0.0000 0.0000 0.5000

Computed properties:
**DFT total energy**: -20.41 eV for the cell shown
**Energy relative to the elements**: 0.02 eV per atom
**Volume**: 374 Å³/cell
**Fermi-level density of states**: 1.279 states/eV/atom

Ca4MgZn | PBE | relaxed

a = 10.789 Å, b = 3.789 Å, c = 9.774 Å
α = 90.00°, β = 90.00°, γ = 90.00°
Space group Pmma (No. 51)
One atom of each set of equivalent atoms:
1 Ca 0.000 0.000 0.000
2 Ca 0.070 0.500 0.329
3 Ca 0.250 0.500 0.858
4 Mg 0.250 0.000 0.564
5 Zn 0.250 0.000 0.147

Computed properties:
**DFT total energy**: -22.09 eV for the cell shown
**Energy relative to the elements**: -0.03 eV per atom
**Volume**: 400 Å³/cell
**Fermi-level density of states**: 1.084 states/eV/atom

CaMg8Zn4 | PBE | relaxed

a = 9.749 Å, b = 9.749 Å, c = 5.679 Å
α = 90.00°, β = 90.00°, γ = 90.00°
Space group I4/mmm (No. 139)
One atom of each set of equivalent atoms:
1 Ca 0.000 0.000 0.000
2 Mg 0.000 0.217 0.500
3 Mg 0.000 0.345 0.000
4 Zn 0.250 0.250 0.250

Computed properties:
**DFT total energy**: -42.46 eV for the cell shown
**Energy relative to the elements**: -0.11 eV per atom
**Volume**: 540 Å³/cell
**Fermi-level density of states**: 0.523 states/eV/atom